# 1
Entry from Alexandria via LeMat-Bulk: crystalline La2Ag at its relaxed geometry (GGA-PBEsol).

Cell: 14.337 4.032 6.996 Å, 90.00 116.08 90.00°
Space group C2/m (No. 12)
Unique sites:
La  0.012  0.000  0.275 [4 per cell]
La  0.205  0.500  0.707 [4 per cell]
Ag  0.118  0.500  0.093 [4 per cell]

## Properties
Density (Mg/m³): 7.05
V (Å³/atom): 30.3
Total moment (μB/cell): 0.00
Calculated total energy (eV per atom): -4.750
Energy of formation from the pure elements (eV/atom): -0.082


# 2
Entry from Alexandria via LeMat-Bulk: crystalline KMg4Pt at its relaxed geometry (GGA-PBEsol).

Cell: 8.116 8.116 8.116 Å, 90.00 90.00 90.00°
Space group F-43m (No. 216)
Unique sites:
K  0.000  0.000  0.000 [4 per cell]
Mg  0.123  0.123  0.377 [16 per cell]
Pt  0.250  0.250  0.750 [4 per cell]

## Properties
Density (Mg/m³): 4.12
V (Å³/atom): 22.3
Total moment (μB/cell): 0.00
Calculated total energy (eV per atom): -2.309
Energy of formation from the pure elements (eV/atom): 0.185


# 3
Entry from Alexandria via LeMat-Bulk: crystalline BeReC2Se at its relaxed geometry (GGA-PBEsol).

Cell: 3.717 3.717 4.882 Å, 90.00 90.00 90.00°
Space group P4/mmm (No. 123)
Unique sites:
Be  0.000  0.000  0.000 [1 per cell]
Re  0.500  0.500  0.000 [1 per cell]
C  0.000  0.500  0.500 [2 per cell]
Se  0.500  0.500  0.500 [1 per cell]

## Properties
Density (Mg/m³): 7.34
V (Å³/atom): 13.5
Total moment (μB/cell): 0.00
E_form (uncorrected) (meV per atom): 2798
Calculated total energy (eV per atom): -5.296


# 4
Entry from Alexandria via LeMat-Bulk: crystalline TaNiAg2Pb at its relaxed geometry (GGA-PBEsol).

Cell: 5.124 5.124 4.498 Å, 90.00 90.00 90.00°
Space group P4/mmm (No. 123)
Unique sites:
Ta  0.000  0.000  0.000 [1 per cell]
Ni  0.000  0.000  0.500 [1 per cell]
Ag  0.000  0.500  0.000 [2 per cell]
Pb  0.500  0.500  0.500 [1 per cell]

## Properties
Density (Mg/m³): 9.32
V (Å³/atom): 23.6
Total moment (μB/cell): 0.00
Calculated total energy (eV per atom): -4.610
Energy of formation from the pure elements (eV/atom): 1.256


# 5
Entry from Alexandria via LeMat-Bulk: crystalline SiAgMo2 at its relaxed geometry (GGA-PBEsol).

Cell: 3.263 3.263 5.705 Å, 90.00 90.00 90.00°
Space group P4mm (No. 99)
Unique sites:
Si  0.000  0.000  0.000 [1 per cell]
Ag  0.500  0.500  0.232 [1 per cell]
Mo  0.000  0.000  0.525 [1 per cell]
Mo  0.500  0.500  0.740 [1 per cell]

## Properties
Density (Mg/m³): 8.96
V (Å³/atom): 15.2
Total moment (μB/cell): 0.00
E_form (uncorrected) (meV per atom): 191
Calculated total energy (eV per atom): -7.957


# 6
Entry from Alexandria via LeMat-Bulk: crystalline SmAu at its relaxed geometry (GGA-PBEsol).

Cell: 3.798 10.986 4.643 Å, 90.00 90.00 90.00°
Space group Cmcm (No. 63)
Unique sites:
Sm  0.000  0.138  0.250 [4 per cell]
Au  0.000  0.414  0.250 [4 per cell]

## Properties
Density (Mg/m³): 11.91
V (Å³/atom): 24.2
Total moment (μB/cell): 0.00
Calculated total energy (eV per atom): -5.342
Energy of formation from the pure elements (eV/atom): -0.834


# 7
Entry from Alexandria via LeMat-Bulk: crystalline ScFeRu2C at its relaxed geometry (GGA-PBEsol).

Cell: 4.233 4.233 4.642 Å, 90.00 90.00 90.00°
Space group P4/mmm (No. 123)
Unique sites:
Sc  0.000  0.000  0.000 [1 per cell]
Fe  0.000  0.000  0.500 [1 per cell]
Ru  0.000  0.500  0.500 [2 per cell]
C  0.500  0.500  0.000 [1 per cell]

## Properties
Density (Mg/m³): 6.29
V (Å³/atom): 16.6
Total moment (μB/cell): 0.00
Calculated total energy (eV per atom): -7.229
Energy of formation from the pure elements (eV/atom): 1.882


# 8
Entry from Alexandria via LeMat-Bulk: crystalline Ca3TlN at its relaxed geometry (GGA-PBEsol).

Cell: 4.881 4.881 4.881 Å, 90.00 90.00 90.00°
Space group Pm-3m (No. 221)
Unique sites:
Ca  0.000  0.000  0.500 [3 per cell]
Tl  0.500  0.500  0.500 [1 per cell]
N  0.000  0.000  0.000 [1 per cell]

## Properties
Density (Mg/m³): 4.83
V (Å³/atom): 23.3
Total moment (μB/cell): 0.00
E_form (uncorrected) (meV per atom): -721
Calculated total energy (eV per atom): -4.232


# 9
Entry from Alexandria via LeMat-Bulk: crystalline HgTeH4O6 at its relaxed geometry (GGA-PBEsol).

Cell: 10.385 6.078 8.024 Å, 90.00 90.00 90.00°
Space group Pna2_1 (No. 33)
Unique sites:
Hg  0.009  0.135  0.000 [4 per cell]
Te  0.143  0.639  0.007 [4 per cell]
H  0.081  0.493  0.723 [4 per cell]
H  0.136  0.272  0.415 [4 per cell]
H  0.220  0.869  0.245 [4 per cell]
H  0.242  0.914  0.720 [4 per cell]
O  0.012  0.820  0.904 [4 per cell]
O  0.013  0.446  0.099 [4 per cell]
O  0.130  0.821  0.206 [4 per cell]
O  0.149  0.445  0.813 [4 per cell]
O  0.220  0.964  0.601 [4 per cell]
O  0.228  0.332  0.406 [4 per cell]

## Properties
Density (Mg/m³): 5.62
V (Å³/atom): 10.6
Total moment (μB/cell): 0.00
Calculated total energy (eV per atom): -4.985


# 10
Entry from Alexandria via LeMat-Bulk: crystalline Ho11In6Si4 at its relaxed geometry (GGA-PBEsol).

Cell: 11.263 11.263 15.850 Å, 90.00 90.00 90.00°
Space group I4/mmm (No. 139)
Unique sites:
Ho  0.000  0.000  0.169 [4 per cell]
Ho  0.000  0.250  0.315 [16 per cell]
Ho  0.000  0.347  0.101 [16 per cell]
Ho  0.167  0.167  0.500 [8 per cell]
In  0.129  0.129  0.000 [8 per cell]
In  0.206  0.206  0.171 [16 per cell]
Si  0.000  0.000  0.382 [4 per cell]
Si  0.000  0.347  0.500 [8 per cell]
Si  0.000  0.500  0.250 [4 per cell]

## Properties
Density (Mg/m³): 8.64
V (Å³/atom): 23.9
Total moment (μB/cell): 0.00
E_form (uncorrected) (meV per atom): -648
Calculated total energy (eV per atom): -5.188


# 11
Entry from Alexandria via LeMat-Bulk: crystalline Zr2GeTe at its relaxed geometry (GGA-PBEsol).

Cell: 6.861 6.861 6.861 Å, 90.00 90.00 90.00°
Space group Fm-3m (No. 225)
Unique sites:
Zr  0.250  0.250  0.250 [8 per cell]
Ge  0.000  0.000  0.000 [4 per cell]
Te  0.000  0.000  0.500 [4 per cell]

## Properties
Density (Mg/m³): 7.87
V (Å³/atom): 20.2
Total moment (μB/cell): 0.00
E_form (uncorrected) (meV per atom): -593
Calculated total energy (eV per atom): -7.254


# 12
Entry from Alexandria via LeMat-Bulk: crystalline BaCaC2O6 at its relaxed geometry (GGA-PBEsol).

Cell: 6.525 5.237 8.072 Å, 90.00 106.37 90.00°
Space group P2_1/m (No. 11)
Unique sites:
Ba  0.211  0.250  0.352 [2 per cell]
Ca  0.304  0.250  0.877 [2 per cell]
C  0.247  0.750  0.116 [2 per cell]
C  0.252  0.750  0.601 [2 per cell]
O  0.062  0.750  0.138 [2 per cell]
O  0.191  0.536  0.653 [4 per cell]
O  0.349  0.537  0.107 [4 per cell]
O  0.360  0.750  0.490 [2 per cell]

## Properties
Density (Mg/m³): 3.73
V (Å³/atom): 13.2
Total moment (μB/cell): 0.00
E_form (uncorrected) (meV per atom): -2282
Calculated total energy (eV per atom): -7.789
Energy above the most stable polymorph in this dataset (meV/atom): 0


# 13
Entry from Alexandria via LeMat-Bulk: crystalline LaCoO3 at its relaxed geometry (GGA-PBEsol).

Cell: 5.4049 5.4049 12.9354 Å, 90.00 90.00 120.00°
Space group R-3c (No. 167, hexagonal axes)
Unique sites:
La  0.0000  0.0000  0.2500 [6 per cell]
Co  0.0000  0.0000  0.0000 [6 per cell]
O  0.0000  0.4473  0.2500 [18 per cell]

## Properties
Density (Mg/m³): 7.48
V (Å³/atom): 10.9
Total moment (μB/cell): 8.04
E_form (uncorrected) (meV per atom): -2292
Calculated total energy (eV per atom): -8.059


# 14
Entry from Alexandria via LeMat-Bulk: crystalline Ca2MgSi at its relaxed geometry (GGA-PBEsol).

Cell: 4.453 4.249 11.493 Å, 90.00 90.00 90.00°
Space group Amm2 (No. 38)
Unique sites:
Ca  0.000  0.000  0.000 [2 per cell]
Ca  0.500  0.000  0.294 [2 per cell]
Mg  0.000  0.000  0.703 [2 per cell]
Si  0.500  0.000  0.570 [2 per cell]

## Properties
Density (Mg/m³): 2.02
V (Å³/atom): 27.2
Total moment (μB/cell): 0.00
E_form (uncorrected) (meV per atom): -229
Calculated total energy (eV per atom): -3.161


# 15
Entry from Alexandria via LeMat-Bulk: crystalline ErInAu at its relaxed geometry (GGA-PBEsol).

Cell: 7.6755 7.6755 3.8053 Å, 90.00 90.00 120.00°
Space group P-62m (No. 189)
Unique sites:
Er  0.0000  0.4011  0.0000 [3 per cell]
In  0.0000  0.7342  0.5000 [3 per cell]
Au  0.0000  0.0000  0.0000 [1 per cell]
Au  0.3333  0.6667  0.5000 [2 per cell]

## Properties
Density (Mg/m³): 12.29
V (Å³/atom): 21.6
Total moment (μB/cell): 0.00
Calculated total energy (eV per atom): -4.738
Energy of formation from the pure elements (eV/atom): -0.793


# 16
Entry from Alexandria via LeMat-Bulk: crystalline SbIr at its relaxed geometry (GGA-PBEsol).

Cell: 4.0171 4.0171 5.5250 Å, 90.00 90.00 120.00°
Space group P6_3/mmc (No. 194)
Unique sites:
Sb  0.3333  0.6667  0.2500 [2 per cell]
Ir  0.0000  0.0000  0.0000 [2 per cell]

## Properties
Density (Mg/m³): 13.50
V (Å³/atom): 19.3
Total moment (μB/cell): 0.00
E_form (uncorrected) (meV per atom): -191
Calculated total energy (eV per atom): -7.382


# 17
Entry from Alexandria via LeMat-Bulk: crystalline LaAlBi3 at its relaxed geometry (GGA-PBEsol).

Cell: 5.401 5.401 5.401 Å, 90.00 90.00 90.00°
Space group Pm-3m (No. 221)
Unique sites:
La  0.000  0.000  0.000 [1 per cell]
Al  0.500  0.500  0.500 [1 per cell]
Bi  0.000  0.500  0.500 [3 per cell]

## Properties
Density (Mg/m³): 8.36
V (Å³/atom): 31.5
Total moment (μB/cell): 0.00
Calculated total energy (eV per atom): -4.439
Energy of formation from the pure elements (eV/atom): 0.020


# 18
Entry from Alexandria via LeMat-Bulk: crystalline ZrSi2Tc at its relaxed geometry (GGA-PBEsol).

Cell: 3.428 3.982 4.446 Å, 90.00 90.00 90.00°
Space group Pmmm (No. 47)
Unique sites:
Zr  0.000  0.000  0.000 [1 per cell]
Si  0.000  0.500  0.500 [1 per cell]
Si  0.500  0.500  0.000 [1 per cell]
Tc  0.500  0.000  0.500 [1 per cell]

## Properties
Density (Mg/m³): 6.71
V (Å³/atom): 15.2
Total moment (μB/cell): 0.00
E_form (uncorrected) (meV per atom): -372
Calculated total energy (eV per atom): -8.335
Energy above the most stable polymorph in this dataset (meV/atom): 212


# 19
Entry from Alexandria via LeMat-Bulk: crystalline SrLiCd2 at its relaxed geometry (GGA-PBEsol).

Cell: 4.8032 4.8032 16.3549 Å, 90.00 90.00 120.00°
Space group R-3m (No. 166, hexagonal axes)
Unique sites:
Sr  0.0000  0.0000  0.0000 [3 per cell]
Li  0.0000  0.0000  0.5000 [3 per cell]
Cd  0.0000  0.0000  0.2006 [6 per cell]

## Properties
Density (Mg/m³): 4.87
V (Å³/atom): 27.2
Total moment (μB/cell): 0.00
Calculated total energy (eV per atom): -1.796
Energy above the most stable polymorph in this dataset (meV/atom): 0
Energy of formation from the pure elements (eV/atom): -0.246


# 20
Entry from Alexandria via LeMat-Bulk: crystalline GeBiCl2 at its relaxed geometry (GGA-PBEsol).

Cell: 7.840 7.840 6.291 Å, 90.00 90.00 90.00°
Space group I-42d (No. 122)
Unique sites:
Ge  0.000  0.000  0.000 [4 per cell]
Bi  0.000  0.000  0.500 [4 per cell]
Cl  0.224  0.250  0.125 [8 per cell]

## Properties
Density (Mg/m³): 6.05
V (Å³/atom): 24.2
Total moment (μB/cell): 0.00
E_form (uncorrected) (meV per atom): -142
Calculated total energy (eV per atom): -3.452


# 21
Entry from Alexandria via LeMat-Bulk: crystalline Sc2CdSe at its relaxed geometry (GGA-PBEsol).

Cell: 3.6350 3.6350 22.3671 Å, 90.00 90.00 120.00°
Space group R-3m (No. 166, hexagonal axes)
Unique sites:
Sc  0.0000  0.0000  0.2387 [6 per cell]
Cd  0.0000  0.0000  0.0000 [3 per cell]
Se  0.0000  0.0000  0.5000 [3 per cell]

## Properties
Density (Mg/m³): 5.47
V (Å³/atom): 21.3
Total moment (μB/cell): 0.00
E_form (uncorrected) (meV per atom): -923
Calculated total energy (eV per atom): -5.487


# 22
Entry from Alexandria via LeMat-Bulk: crystalline YHI2Br at its relaxed geometry (GGA-PBEsol).

Cell: 5.936 5.936 5.485 Å, 90.00 90.00 90.00°
Space group P4/mmm (No. 123)
Unique sites:
Y  0.000  0.000  0.000 [1 per cell]
H  0.500  0.500  0.500 [1 per cell]
I  0.000  0.500  0.000 [2 per cell]
Br  0.000  0.000  0.500 [1 per cell]

## Properties
Density (Mg/m³): 3.64
V (Å³/atom): 38.7
Total moment (μB/cell): 1.00
Calculated total energy (eV per atom): -3.774


# 23
Entry from Alexandria via LeMat-Bulk: crystalline SrTlCuBi2 at its relaxed geometry (GGA-PBEsol).

Cell: 5.850 5.850 4.826 Å, 90.00 90.00 90.00°
Space group P4/mmm (No. 123)
Unique sites:
Sr  0.000  0.000  0.000 [1 per cell]
Tl  0.500  0.500  0.500 [1 per cell]
Cu  0.500  0.500  0.000 [1 per cell]
Bi  0.000  0.500  0.500 [2 per cell]

## Properties
Density (Mg/m³): 7.78
V (Å³/atom): 33.0
Total moment (μB/cell): 0.00
Calculated total energy (eV per atom): -3.242
Energy of formation from the pure elements (eV/atom): 0.233